1.
# In2GaHg2I6 PBE optimized geometry
data_In2GaHg2I6
_cell_length_a 14.206
_cell_length_b 8.571
_cell_length_c 9.807
_cell_angle_alpha 90.00
_cell_angle_beta 122.33
_cell_angle_gamma 90.00
_symmetry_space_group_name_H-M 'C 1 2/m 1'
_symmetry_Int_Tables_number 12
loop_
_symmetry_equiv_pos_as_xyz
'x,y,z'
'-x,-y,-z'
'-x,y,-z'
'x,-y,z'
'x+1/2,y+1/2,z'
'-x+1/2,-y+1/2,-z'
'-x+1/2,y+1/2,-z'
'x+1/2,-y+1/2,z'
loop_
_atom_site_label
_atom_site_type_symbol
_atom_site_fract_x
_atom_site_fract_y
_atom_site_fract_z
_atom_site_occupancy
In1 In 0.026 0.000 0.162 1
Ga1 Ga 0.000 0.500 0.500 1
Hg1 Hg 0.182 0.500 0.178 1
I1 I 0.069 0.267 0.790 1
I2 I 0.250 0.000 0.416 1
# Electronic total energy   -1.9400 eV per atom
# E_form (uncorrected)   -267 meV per atom


2.
# In2Ga2HgI6 PBE optimized geometry
data_In2Ga2HgI6
_cell_length_a 7.764
_cell_length_b 8.802
_cell_length_c 8.966
_cell_angle_alpha 69.16
_cell_angle_beta 65.78
_cell_angle_gamma 80.10
_symmetry_space_group_name_H-M 'P -1'
_symmetry_Int_Tables_number 2
loop_
_symmetry_equiv_pos_as_xyz
'x,y,z'
'-x,-y,-z'
loop_
_atom_site_label
_atom_site_type_symbol
_atom_site_fract_x
_atom_site_fract_y
_atom_site_fract_z
_atom_site_occupancy
In1 In 0.241 0.287 0.024 1
Ga1 Ga 0.380 0.600 0.549 1
Hg1 Hg 0.000 0.000 0.000 1
I1 I 0.041 0.468 0.725 1
I2 I 0.368 0.857 0.290 1
I3 I 0.421 0.676 0.793 1
# Electronic total energy   -2.3380 eV per atom
# E_form (uncorrected)   -417 meV per atom


3.
# InGaHg2I4 PBE optimized geometry
data_InGaHg2I4
_cell_length_a 8.030
_cell_length_b 14.731
_cell_length_c 29.184
_cell_angle_alpha 90.00
_cell_angle_beta 90.00
_cell_angle_gamma 90.00
_symmetry_space_group_name_H-M 'F d d d'
_symmetry_Int_Tables_number 70
loop_
_symmetry_equiv_pos_as_xyz
'x,y,z'
'-x,-y,-z'
'-x+1/4,-y+1/4,z'
'x+1/4,y+1/4,-z'
'x,-y+1/4,-z+1/4'
'-x,y+1/4,z+1/4'
'-x+1/4,y,-z+1/4'
'x+1/4,-y,z+1/4'
'x,y+1/2,z+1/2'
'-x,-y+1/2,-z+1/2'
'-x+1/4,-y+3/4,z+1/2'
'x+1/4,y+3/4,-z+1/2'
'x,-y+3/4,-z+3/4'
'-x,y+3/4,z+3/4'
'-x+1/4,y+1/2,-z+3/4'
'x+1/4,-y+1/2,z+3/4'
'x+1/2,y,z+1/2'
'-x+1/2,-y,-z+1/2'
'-x+3/4,-y+1/4,z+1/2'
'x+3/4,y+1/4,-z+1/2'
'x+1/2,-y+1/4,-z+3/4'
'-x+1/2,y+1/4,z+3/4'
'-x+3/4,y,-z+3/4'
'x+3/4,-y,z+3/4'
'x+1/2,y+1/2,z'
'-x+1/2,-y+1/2,-z'
'-x+3/4,-y+3/4,z'
'x+3/4,y+3/4,-z'
'x+1/2,-y+3/4,-z+1/4'
'-x+1/2,y+3/4,z+1/4'
'-x+3/4,y+1/2,-z+1/4'
'x+3/4,-y+1/2,z+1/4'
loop_
_atom_site_label
_atom_site_type_symbol
_atom_site_fract_x
_atom_site_fract_y
_atom_site_fract_z
_atom_site_occupancy
In1 In 0.125 0.125 0.125 1
Ga1 Ga 0.125 0.125 0.625 1
Hg1 Hg 0.125 0.125 0.303 1
I1 I 0.080 0.271 0.430 1
# Electronic total energy   -1.8583 eV per atom
# E_form (uncorrected)   -287 meV per atom


4.
# InGa2HgI8 PBE optimized geometry
data_InGa2HgI8
_cell_length_a 14.753
_cell_length_b 8.498
_cell_length_c 10.091
_cell_angle_alpha 90.00
_cell_angle_beta 105.45
_cell_angle_gamma 90.00
_symmetry_space_group_name_H-M 'C 1 2/m 1'
_symmetry_Int_Tables_number 12
loop_
_symmetry_equiv_pos_as_xyz
'x,y,z'
'-x,-y,-z'
'-x,y,-z'
'x,-y,z'
'x+1/2,y+1/2,z'
'-x+1/2,-y+1/2,-z'
'-x+1/2,y+1/2,-z'
'x+1/2,-y+1/2,z'
loop_
_atom_site_label
_atom_site_type_symbol
_atom_site_fract_x
_atom_site_fract_y
_atom_site_fract_z
_atom_site_occupancy
In1 In 0.000 0.000 0.000 1
Ga1 Ga 0.188 0.500 0.109 1
Hg1 Hg 0.000 0.500 0.500 1
I1 I 0.124 0.252 0.213 1
I2 I 0.129 0.000 0.786 1
I3 I 0.139 0.500 0.851 1
# Electronic total energy   -2.1773 eV per atom
# E_form (uncorrected)   -386 meV per atom


5.
# In2GaHgI3 PBE optimized geometry
data_In2GaHgI3
_cell_length_a 5.262
_cell_length_b 5.954
_cell_length_c 18.197
_cell_angle_alpha 90.00
_cell_angle_beta 90.00
_cell_angle_gamma 90.00
_symmetry_space_group_name_H-M 'I m m m'
_symmetry_Int_Tables_number 71
_symmetry_space_group_name_Hall '-I 2 2'
loop_
_atom_site_label
_atom_site_type_symbol
_atom_site_fract_x
_atom_site_fract_y
_atom_site_fract_z
_atom_site_occupancy
In1 In 0.000 0.000 0.149 1
Ga1 Ga 0.000 0.000 0.500 1
Hg1 Hg 0.000 0.500 0.000 1
I1 I 0.000 0.000 0.326 1
I2 I 0.000 0.500 0.500 1
# Electronic total energy   -2.2109 eV per atom
# E_form (uncorrected)   -289 meV per atom


6.
# InGa2Hg2I6 PBE optimized geometry
data_InGa2Hg2I6
_cell_length_a 8.5360
_cell_length_b 8.5360
_cell_length_c 24.2515
_cell_angle_alpha 90.00
_cell_angle_beta 90.00
_cell_angle_gamma 120.00
_symmetry_space_group_name_H-M 'R -3 m'
_symmetry_Int_Tables_number 166
_symmetry_space_group_name_Hall '-R 3 2"'
loop_
_atom_site_label
_atom_site_type_symbol
_atom_site_fract_x
_atom_site_fract_y
_atom_site_fract_z
_atom_site_occupancy
In1 In 0.0000 0.0000 0.0000 1
Ga1 Ga 0.0000 0.0000 0.4467 1
Hg1 Hg 0.0000 0.0000 0.2687 1
I1 I 0.0107 0.5053 0.7528 1
# Electronic total energy   -1.9870 eV per atom
# E_form (uncorrected)   -287 meV per atom


7.
# InGaHg2I PBE optimized geometry
data_InGaHg2I
_cell_length_a 5.333
_cell_length_b 5.333
_cell_length_c 6.180
_cell_angle_alpha 90.00
_cell_angle_beta 90.00
_cell_angle_gamma 90.00
_symmetry_space_group_name_H-M 'P 4/m m m'
_symmetry_Int_Tables_number 123
_symmetry_space_group_name_Hall '-P 4 2'
loop_
_atom_site_label
_atom_site_type_symbol
_atom_site_fract_x
_atom_site_fract_y
_atom_site_fract_z
_atom_site_occupancy
In1 In 0.000 0.000 0.000 1
Ga1 Ga 0.500 0.500 0.500 1
Hg1 Hg 0.000 0.500 0.500 1
I1 I 0.500 0.500 0.000 1
# Relative energy among the computed polymorphs   77.9 meV per atom
# Electronic total energy   -1.6050 eV per atom
# E_form (uncorrected)   -21 meV per atom


8.
# InGaHg2I PBE optimized geometry
data_InGaHg2I
_cell_length_a 5.335
_cell_length_b 5.335
_cell_length_c 5.612
_cell_angle_alpha 90.00
_cell_angle_beta 90.00
_cell_angle_gamma 90.00
_symmetry_space_group_name_H-M 'P 4/m m m'
_symmetry_Int_Tables_number 123
_symmetry_space_group_name_Hall '-P 4 2'
loop_
_atom_site_label
_atom_site_type_symbol
_atom_site_fract_x
_atom_site_fract_y
_atom_site_fract_z
_atom_site_occupancy
In1 In 0.000 0.000 0.000 1
Ga1 Ga 0.000 0.000 0.500 1
Hg1 Hg 0.000 0.500 0.500 1
I1 I 0.500 0.500 0.000 1
# Relative energy among the computed polymorphs   0.0 meV per atom
# Electronic total energy   -1.6829 eV per atom
# E_form (uncorrected)   -99 meV per atom


9.
# K2Ga2HgI6 PBE optimized geometry
data_K2Ga2HgI6
_cell_length_a 6.697
_cell_length_b 8.620
_cell_length_c 10.640
_cell_angle_alpha 100.77
_cell_angle_beta 101.33
_cell_angle_gamma 110.51
_symmetry_space_group_name_H-M 'P -1'
_symmetry_Int_Tables_number 2
loop_
_symmetry_equiv_pos_as_xyz
'x,y,z'
'-x,-y,-z'
loop_
_atom_site_label
_atom_site_type_symbol
_atom_site_fract_x
_atom_site_fract_y
_atom_site_fract_z
_atom_site_occupancy
K1 K 0.198 0.348 0.135 1
Ga1 Ga 0.111 0.814 0.329 1
Hg1 Hg 0.000 0.000 0.500 1
I1 I 0.215 0.487 0.836 1
I2 I 0.273 0.959 0.148 1
I3 I 0.409 0.699 0.432 1
# Electronic total energy   -2.4234 eV per atom
# E_form (uncorrected)   -801 meV per atom


10.
# KGa2HgI6 PBE optimized geometry
data_KGa2HgI6
_cell_length_a 16.356
_cell_length_b 15.666
_cell_length_c 9.098
_cell_angle_alpha 90.00
_cell_angle_beta 113.74
_cell_angle_gamma 90.00
_symmetry_space_group_name_H-M 'C 1 2/c 1'
_symmetry_Int_Tables_number 15
loop_
_symmetry_equiv_pos_as_xyz
'x,y,z'
'-x,-y,-z'
'-x,y,-z+1/2'
'x,-y,z+1/2'
'x+1/2,y+1/2,z'
'-x+1/2,-y+1/2,-z'
'-x+1/2,y+1/2,-z+1/2'
'x+1/2,-y+1/2,z+1/2'
loop_
_atom_site_label
_atom_site_type_symbol
_atom_site_fract_x
_atom_site_fract_y
_atom_site_fract_z
_atom_site_occupancy
K1 K 0.000 0.025 0.250 1
Ga1 Ga 0.236 0.099 0.699 1
Hg1 Hg 0.000 0.434 0.750 1
I1 I 0.071 0.159 0.591 1
I2 I 0.139 0.291 0.185 1
I3 I 0.246 0.023 0.423 1
# Electronic total energy   -2.2165 eV per atom
# E_form (uncorrected)   -541 meV per atom


Among the records above, which one has the highest E_form (uncorrected)? number 7